! PmDyGaCo (PBE-GGA, relaxed); values from VASP
! SG: Amm2, No. 38
! VASP energy: -5.214 eV/atom
! Energy relative to the elements: -343 meV/atom
! Relative energy among the computed polymorphs: 0 meV/atom
&SYSTEM
  ibrav = 0, nat = 4, ntyp = 4
/
ATOMIC_SPECIES
Pm 145.00 Pm.upf
Dy 162.50 Dy.upf
Ga 69.72 Ga.upf
Co 58.93 Co.upf
CELL_PARAMETERS angstrom
4.160 0.000 0.000
0.000 2.076 5.220
0.000 -2.076 5.220
ATOMIC_POSITIONS crystal
Pm 0.000 0.000 0.000
Dy 0.500 0.715 0.715
Ga 0.500 0.415 0.415
Co 0.000 0.284 0.284